Compound: KGeRu
Source: Alexandria via LeMat-Bulk
Functional: PBE
Structure: optimized geometry

Computed properties:
density: 4756 kg/m3
formation enthalpy at 0 K: -0.108 eV/atom

a = 4.4591 Å, b = 4.4591 Å, c = 7.4732 Å
α = 90.00°, β = 90.00°, γ = 90.00°
Element x y z (fractional)
K1 0.2500 0.2500 0.1559
K2 0.7500 0.7500 0.8441
Ge1 0.2500 0.2500 0.6365
Ge2 0.7500 0.7500 0.3635
Ru1 0.2500 0.7500 0.5000
Ru2 0.7500 0.2500 0.5000

***

Compound: KGe2Ru
Source: Alexandria via LeMat-Bulk
Functional: PBE
Structure: optimized geometry

Computed properties:
density: 3747 kg/m3
formation enthalpy at 0 K: -0.009 eV/atom
energy above the most stable polymorph in this dataset: 59 meV/atom

a = 5.8609 Å, b = 5.8609 Å, c = 14.7303 Å
α = 90.00°, β = 90.00°, γ = 90.00°
Element x y z (fractional)
K1 0.0000 0.2500 0.3750
K2 0.0000 0.7500 0.6250
K3 0.5000 0.2500 0.1250
K4 0.5000 0.7500 0.8750
Ge1 0.0000 0.0000 0.0000
Ge2 0.0000 0.5000 0.0000
Ge3 0.2500 0.2500 0.7500
Ge4 0.2500 0.7500 0.2500
Ge5 0.5000 0.0000 0.5000
Ge6 0.5000 0.5000 0.5000
Ge7 0.7500 0.2500 0.7500
Ge8 0.7500 0.7500 0.2500
Ru1 0.0000 0.2500 0.8750
Ru2 0.0000 0.7500 0.1250
Ru3 0.5000 0.2500 0.6250
Ru4 0.5000 0.7500 0.3750

***

Compound: KGe2Ru
Source: Alexandria via LeMat-Bulk
Functional: PBE
Structure: optimized geometry

Computed properties:
density: 4939 kg/m3
formation enthalpy at 0 K: -0.068 eV/atom
energy above the most stable polymorph in this dataset: 0 meV/atom

a = 4.2065 Å, b = 4.2065 Å, c = 18.7868 Å
α = 90.00°, β = 90.00°, γ = 120.00°
Element x y z (fractional)
K1 0.0000 0.0000 0.0000
K2 0.3333 0.6667 0.6667
K3 0.6667 0.3333 0.3333
Ge1 0.0000 0.0000 0.2030
Ge2 0.0000 0.0000 0.7970
Ge3 0.3333 0.6667 0.4637
Ge4 0.3333 0.6667 0.8697
Ge5 0.6667 0.3333 0.1303
Ge6 0.6667 0.3333 0.5363
Ru1 0.0000 0.0000 0.5000
Ru2 0.3333 0.6667 0.1667
Ru3 0.6667 0.3333 0.8333

***

Compound: KGe2Ru
Source: Alexandria via LeMat-Bulk
Functional: PBE
Structure: optimized geometry

Computed properties:
density: 6501 kg/m3
formation enthalpy at 0 K: 0.491 eV/atom
energy above the most stable polymorph in this dataset: 559 meV/atom

a = 6.6316 Å, b = 6.6316 Å, c = 6.6316 Å
α = 90.00°, β = 90.00°, γ = 90.00°
Element x y z (fractional)
K1 0.0000 0.0000 0.0000
K2 0.0000 0.5000 0.5000
K3 0.5000 0.0000 0.5000
K4 0.5000 0.5000 0.0000
Ge1 0.2500 0.2500 0.2500
Ge2 0.2500 0.2500 0.7500
Ge3 0.2500 0.7500 0.2500
Ge4 0.2500 0.7500 0.7500
Ge5 0.7500 0.2500 0.2500
Ge6 0.7500 0.2500 0.7500
Ge7 0.7500 0.7500 0.2500
Ge8 0.7500 0.7500 0.7500
Ru1 0.0000 0.0000 0.5000
Ru2 0.0000 0.5000 0.0000
Ru3 0.5000 0.0000 0.0000
Ru4 0.5000 0.5000 0.5000

***

Compound: K2GeRuSe
Source: Alexandria via LeMat-Bulk
Functional: PBE
Structure: optimized geometry

Computed properties:
density: 3060 kg/m3
electronic total energy: -3.479 eV per atom

a = 6.2297 Å, b = 6.2297 Å, c = 4.6266 Å
α = 90.00°, β = 90.00°, γ = 90.00°
Element x y z (fractional)
K1 0.0000 0.5000 0.0000
K2 0.5000 0.0000 0.0000
Ge1 0.0000 0.0000 0.0000
Ru1 0.0000 0.0000 0.5000
Se1 0.5000 0.5000 0.5000

***

Compound: KSiGe2Ru
Source: Alexandria via LeMat-Bulk
Functional: PBE
Structure: optimized geometry

Computed properties:
density: 4098 kg/m3
electronic total energy: -3.665 eV per atom

a = 4.7724 Å, b = 4.7724 Å, c = 5.5776 Å
α = 90.00°, β = 90.00°, γ = 90.00°
Element x y z (fractional)
K1 0.0000 0.0000 0.0000
Si1 0.0000 0.0000 0.5000
Ge1 0.0000 0.5000 0.5000
Ge2 0.5000 0.0000 0.5000
Ru1 0.5000 0.5000 0.0000

***

Compound: K2TaGeRu
Source: Alexandria via LeMat-Bulk
Functional: PBE
Structure: optimized geometry

Computed properties:
density: 3875 kg/m3
formation enthalpy at 0 K: 1.998 eV/atom

a = 6.1272 Å, b = 6.1272 Å, c = 4.9410 Å
α = 90.00°, β = 90.00°, γ = 90.00°
Element x y z (fractional)
K1 0.0000 0.5000 0.0000
K2 0.5000 0.0000 0.0000
Ta1 0.0000 0.0000 0.0000
Ge1 0.0000 0.0000 0.5000
Ru1 0.5000 0.5000 0.5000

***

Compound: KTcGeRu2
Source: Alexandria via LeMat-Bulk
Functional: PBE
Structure: optimized geometry

Computed properties:
density: 6082 kg/m3
formation enthalpy at 0 K: 1.655 eV/atom

a = 4.6494 Å, b = 4.6494 Å, c = 5.2020 Å
α = 90.00°, β = 90.00°, γ = 90.00°
Element x y z (fractional)
K1 0.0000 0.0000 0.0000
Tc1 0.5000 0.5000 0.0000
Ge1 0.0000 0.0000 0.5000
Ru1 0.0000 0.5000 0.5000
Ru2 0.5000 0.0000 0.5000

***

Compound: KZn2GeRu
Source: Alexandria via LeMat-Bulk
Functional: PBE
Structure: optimized geometry

Computed properties:
density: 4922 kg/m3
formation enthalpy at 0 K: -0.097 eV/atom

a = 4.9659 Å, b = 4.9659 Å, c = 4.7013 Å
α = 90.00°, β = 90.00°, γ = 90.00°
Element x y z (fractional)
K1 0.0000 0.0000 0.0000
Zn1 0.0000 0.5000 0.5000
Zn2 0.5000 0.0000 0.5000
Ge1 0.5000 0.5000 0.0000
Ru1 0.5000 0.5000 0.5000

***

Compound: KGe3S
Source: Alexandria via LeMat-Bulk
Functional: PBE
Structure: optimized geometry

Computed properties:
density: 2757 kg/m3
energy above the most stable polymorph in this dataset: 1452 meV/atom

a = 5.5842 Å, b = 5.5842 Å, c = 5.5842 Å
α = 90.00°, β = 90.00°, γ = 90.00°
Element x y z (fractional)
K1 0.0000 0.0000 0.0000
Ge1 0.0000 0.0000 0.5000
Ge2 0.0000 0.5000 0.0000
Ge3 0.5000 0.0000 0.0000
S1 0.5000 0.5000 0.5000

***

Compound: KGeS2
Source: Alexandria via LeMat-Bulk
Functional: PBE
Structure: optimized geometry

Computed properties:
density: 2345 kg/m3
electronic total energy: -4.089 eV per atom

a = 6.8767 Å, b = 6.8767 Å, c = 10.5317 Å
α = 90.00°, β = 90.00°, γ = 90.00°
Element x y z (fractional)
K1 0.0000 0.0000 0.0000
K2 0.0000 0.5000 0.2500
K3 0.5000 0.0000 0.7500
K4 0.5000 0.5000 0.5000
Ge1 0.0000 0.0000 0.5000
Ge2 0.0000 0.5000 0.7500
Ge3 0.5000 0.0000 0.2500
Ge4 0.5000 0.5000 0.0000
S1 0.1475 0.2500 0.6250
S2 0.2500 0.6475 0.8750
S3 0.2500 0.8525 0.3750
S4 0.3525 0.2500 0.1250
S5 0.6475 0.7500 0.1250
S6 0.7500 0.1475 0.3750
S7 0.7500 0.3525 0.8750
S8 0.8525 0.7500 0.6250

***

Compound: KGeS2
Source: Alexandria via LeMat-Bulk
Functional: PBE
Structure: optimized geometry

Computed properties:
density: 2572 kg/m3
electronic total energy: -4.286 eV per atom

a = 9.0677 Å, b = 6.7637 Å, c = 14.8093 Å
α = 90.00°, β = 90.00°, γ = 90.00°
Element x y z (fractional)
K1 0.0220 0.2500 0.1257
K2 0.1733 0.7500 0.3194
K3 0.3267 0.2500 0.8194
K4 0.4780 0.7500 0.6257
K5 0.5220 0.2500 0.3743
K6 0.6733 0.7500 0.1806
K7 0.8267 0.2500 0.6806
K8 0.9780 0.7500 0.8743
Ge1 0.0913 0.7500 0.5463
Ge2 0.2423 0.2500 0.5800
Ge3 0.2577 0.7500 0.0800
Ge4 0.4087 0.2500 0.0463
Ge5 0.5913 0.7500 0.9537
Ge6 0.7423 0.2500 0.9200
Ge7 0.7577 0.7500 0.4200
Ge8 0.9087 0.2500 0.4537
S1 0.0197 0.7500 0.0952
S2 0.1397 0.5059 0.6586
S3 0.1397 0.9941 0.6586
S4 0.1724 0.2500 0.4343
S5 0.3276 0.7500 0.9343
S6 0.3603 0.0059 0.1586
S7 0.3603 0.4941 0.1586
S8 0.4803 0.2500 0.5952
S9 0.5197 0.7500 0.4048
S10 0.6397 0.5059 0.8414
S11 0.6397 0.9941 0.8414
S12 0.6724 0.2500 0.0657
S13 0.8276 0.7500 0.5657
S14 0.8603 0.0059 0.3414
S15 0.8603 0.4941 0.3414
S16 0.9803 0.2500 0.9048

***

Compound: K3Ge5S12
Source: Alexandria via LeMat-Bulk
Functional: PBE
Structure: optimized geometry

Computed properties:
density: 3063 kg/m3
electronic total energy: -4.141 eV per atom

a = 13.4576 Å, b = 13.4576 Å, c = 13.4576 Å
α = 109.47°, β = 109.47°, γ = 109.47°
Element x y z (fractional)
K1 0.1250 0.2500 0.3750
K2 0.1250 0.3750 0.7500
K3 0.2500 0.3750 0.1250
K4 0.2500 0.8750 0.6250
K5 0.3750 0.1250 0.2500
K6 0.3750 0.7500 0.1250
K7 0.6250 0.2500 0.8750
K8 0.6250 0.8750 0.7500
K9 0.7500 0.1250 0.3750
K10 0.7500 0.6250 0.8750
K11 0.8750 0.6250 0.2500
K12 0.8750 0.7500 0.6250
Ge1 0.0000 0.0000 0.0000
Ge2 0.0000 0.0000 0.5000
Ge3 0.0000 0.5000 0.0000
Ge4 0.0000 0.5000 0.5000
Ge5 0.1250 0.7500 0.8750
Ge6 0.1250 0.8750 0.2500
Ge7 0.2500 0.1250 0.8750
Ge8 0.2500 0.6250 0.3750
Ge9 0.3750 0.2500 0.6250
Ge10 0.3750 0.6250 0.7500
Ge11 0.5000 0.0000 0.0000
Ge12 0.5000 0.0000 0.5000
Ge13 0.5000 0.5000 0.0000
Ge14 0.5000 0.5000 0.5000
Ge15 0.6250 0.3750 0.2500
Ge16 0.6250 0.7500 0.3750
Ge17 0.7500 0.3750 0.6250
Ge18 0.7500 0.8750 0.1250
Ge19 0.8750 0.1250 0.7500
Ge20 0.8750 0.2500 0.1250
S1 0.0179 0.2004 0.1094
S2 0.0179 0.3175 0.9085
S3 0.0915 0.6094 0.4090
S4 0.0910 0.7004 0.6825
S5 0.0910 0.8906 0.4085
S6 0.0915 0.9821 0.6825
S7 0.1094 0.0179 0.2004
S8 0.1094 0.5915 0.9090
S9 0.1825 0.2004 0.5910
S10 0.1825 0.4821 0.5915
S11 0.2004 0.1094 0.0179
S12 0.2004 0.5910 0.1825
S13 0.2996 0.3175 0.9090
S14 0.2996 0.4821 0.3906
S15 0.3175 0.9085 0.0179
S16 0.3175 0.9090 0.2996
S17 0.3906 0.2996 0.4821
S18 0.3906 0.5910 0.9085
S19 0.4090 0.0915 0.6094
S20 0.4085 0.0910 0.8906
S21 0.4085 0.8175 0.5179
S22 0.4090 0.8175 0.7996
S23 0.4821 0.3906 0.2996
S24 0.4821 0.5915 0.1825
S25 0.5179 0.4085 0.8175
S26 0.5179 0.6094 0.7004
S27 0.5910 0.1825 0.2004
S28 0.5915 0.1825 0.4821
S29 0.5915 0.9090 0.1094
S30 0.5910 0.9085 0.3906
S31 0.6094 0.4090 0.0915
S32 0.6094 0.7004 0.5179
S33 0.6825 0.0910 0.7004
S34 0.6825 0.0915 0.9821
S35 0.7004 0.5179 0.6094
S36 0.7004 0.6825 0.0910
S37 0.7996 0.4090 0.8175
S38 0.7996 0.8906 0.9821
S39 0.8175 0.5179 0.4085
S40 0.8175 0.7996 0.4090
S41 0.8906 0.4085 0.0910
S42 0.8906 0.9821 0.7996
S43 0.9085 0.0179 0.3175
S44 0.9090 0.1094 0.5915
S45 0.9090 0.2996 0.3175
S46 0.9085 0.3906 0.5910
S47 0.9821 0.6825 0.0915
S48 0.9821 0.7996 0.8906

***

Compound: KGe3S
Source: Alexandria via LeMat-Bulk
Functional: PBE
Structure: optimized geometry

Computed properties:
density: 3544 kg/m3
energy above the most stable polymorph in this dataset: 0 meV/atom

a = 5.1358 Å, b = 5.1358 Å, c = 5.1358 Å
α = 90.00°, β = 90.00°, γ = 90.00°
Element x y z (fractional)
K1 0.0000 0.0000 0.0000
Ge1 0.0000 0.5000 0.5000
Ge2 0.5000 0.0000 0.5000
Ge3 0.5000 0.5000 0.0000
S1 0.5000 0.5000 0.5000

***

Compound: KGe2S3
Source: Alexandria via LeMat-Bulk
Functional: PBE
Structure: optimized geometry

Computed properties:
density: 2848 kg/m3
electronic total energy: -4.274 eV per atom

a = 10.6744 Å, b = 10.6744 Å, c = 7.7517 Å
α = 106.70°, β = 106.70°, γ = 22.79°
Element x y z (fractional)
K1 0.1370 0.1370 0.4864
K2 0.8630 0.8630 0.5136
Ge1 0.2250 0.2250 0.1168
Ge2 0.4245 0.4245 0.0159
Ge3 0.5755 0.5755 0.9841
Ge4 0.7750 0.7750 0.8832
S1 0.1126 0.1126 0.9048
S2 0.2952 0.2952 0.7280
S3 0.4660 0.4660 0.7759
S4 0.5340 0.5340 0.2241
S5 0.7048 0.7048 0.2720
S6 0.8874 0.8874 0.0952

***

Compound: KGe4S7
Source: Alexandria via LeMat-Bulk
Functional: PBE
Structure: optimized geometry

Computed properties:
density: 2894 kg/m3
electronic total energy: -4.439 eV per atom

a = 14.8947 Å, b = 6.1566 Å, c = 6.9346 Å
α = 90.00°, β = 90.00°, γ = 90.00°
Element x y z (fractional)
K1 0.0000 0.1750 0.0000
K2 0.5000 0.8250 0.5000
Ge1 0.1208 0.7209 0.4297
Ge2 0.2501 0.2607 0.4309
Ge3 0.2499 0.7393 0.9309
Ge4 0.3792 0.2791 0.9297
Ge5 0.6208 0.2791 0.9297
Ge6 0.7499 0.2607 0.4309
Ge7 0.7501 0.7393 0.9309
Ge8 0.8792 0.7209 0.4297
S1 0.0000 0.9241 0.5190
S2 0.1141 0.6696 0.1101
S3 0.1236 0.4100 0.5962
S4 0.2437 0.8978 0.5360
S5 0.2563 0.1022 0.0360
S6 0.3764 0.5900 0.0962
S7 0.3859 0.3304 0.6101
S8 0.5000 0.0759 0.0190
S9 0.6141 0.3304 0.6101
S10 0.6236 0.5900 0.0962
S11 0.7437 0.1022 0.0360
S12 0.7563 0.8978 0.5360
S13 0.8764 0.4100 0.5962
S14 0.8859 0.6696 0.1101

***

Compound: KGeS3
Source: Alexandria via LeMat-Bulk
Functional: PBE
Structure: optimized geometry

Computed properties:
density: 3013 kg/m3
electronic total energy: -3.804 eV per atom

a = 4.8572 Å, b = 4.8572 Å, c = 4.8572 Å
α = 90.00°, β = 90.00°, γ = 90.00°
Element x y z (fractional)
K1 0.0000 0.0000 0.0000
Ge1 0.5000 0.5000 0.5000
S1 0.0000 0.5000 0.5000
S2 0.5000 0.0000 0.5000
S3 0.5000 0.5000 0.0000

***

Compound: K2GeS4
Source: Alexandria via LeMat-Bulk
Functional: PBE
Structure: optimized geometry

Computed properties:
density: 2427 kg/m3
electronic total energy: -3.703 eV per atom

a = 4.9719 Å, b = 4.9719 Å, c = 15.4475 Å
α = 90.00°, β = 90.00°, γ = 90.00°
Element x y z (fractional)
K1 0.0000 0.0000 0.1412
K2 0.0000 0.0000 0.8588
K3 0.5000 0.5000 0.3588
K4 0.5000 0.5000 0.6412
Ge1 0.0000 0.0000 0.5000
Ge2 0.5000 0.5000 0.0000
S1 0.0000 0.0000 0.3550
S2 0.0000 0.0000 0.6450
S3 0.0000 0.5000 0.0000
S4 0.0000 0.5000 0.5000
S5 0.5000 0.0000 0.0000
S6 0.5000 0.0000 0.5000
S7 0.5000 0.5000 0.1450
S8 0.5000 0.5000 0.8550

***

Compound: K8GeS6
Source: Alexandria via LeMat-Bulk
Functional: PBE
Structure: optimized geometry

Computed properties:
density: 1865 kg/m3
electronic total energy: -3.516 eV per atom

a = 8.6381 Å, b = 8.7035 Å, c = 13.6891 Å
α = 90.00°, β = 90.00°, γ = 90.00°
Element x y z (fractional)
K1 0.0000 0.0235 0.0000
K2 0.0000 0.2070 0.4128
K3 0.2032 0.8111 0.7357
K4 0.2149 0.6428 0.1218
K5 0.2453 0.5554 0.3854
K6 0.2547 0.4446 0.8854
K7 0.2851 0.3572 0.6218
K8 0.2968 0.1889 0.2357
K9 0.5000 0.7930 0.9128
K10 0.5000 0.9765 0.5000
K11 0.7032 0.1889 0.2357
K12 0.7149 0.3572 0.6218
K13 0.7453 0.4446 0.8854
K14 0.7547 0.5554 0.3854
K15 0.7851 0.6428 0.1218
K16 0.7968 0.8111 0.7357
Ge1 0.0000 0.8580 0.4837
Ge2 0.5000 0.1420 0.9837
S1 0.0000 0.0355 0.6063
S2 0.0000 0.4109 0.2332
S3 0.0000 0.6204 0.5564
S4 0.0000 0.6854 0.9335
S5 0.2047 0.8981 0.3856
S6 0.2953 0.1019 0.8856
S7 0.5000 0.3146 0.4335
S8 0.5000 0.3796 0.0564
S9 0.5000 0.5891 0.7332
S10 0.5000 0.9645 0.1063
S11 0.7047 0.1019 0.8856
S12 0.7953 0.8981 0.3856

***

Number 1: total magnetic moment 0.00 μB/cell, calculated volume 148.6 Å³/cell. Number 2: total magnetic moment 0.00 μB/cell, calculated volume 506.0 Å³/cell. Number 3: total magnetic moment 0.00 μB/cell, calculated volume 287.9 Å³/cell. Number 4: total magnetic moment 0.00 μB/cell, calculated volume 291.6 Å³/cell. Number 5: total magnetic moment 2.06 μB/cell, calculated volume 179.6 Å³/cell. Number 6: total magnetic moment 2.59 μB/cell, calculated volume 127.0 Å³/cell. Number 7: total magnetic moment 5.84 μB/cell, calculated volume 185.5 Å³/cell. Number 8: total magnetic moment 3.65 μB/cell, calculated volume 112.5 Å³/cell. Number 9: total magnetic moment 0.00 μB/cell, calculated volume 115.9 Å³/cell. Number 10: total magnetic moment 0.00 μB/cell, calculated volume 174.1 Å³/cell. Number 11: total magnetic moment 0.00 μB/cell, calculated volume 498.0 Å³/cell. Number 12: total magnetic moment 0.00 μB/cell, calculated volume 908.3 Å³/cell. Number 13: total magnetic moment 0.00 μB/cell, calculated volume 1876.2 Å³/cell. Number 14: total magnetic moment 0.00 μB/cell, calculated volume 135.5 Å³/cell. Number 15: total magnetic moment 0.00 μB/cell, calculated volume 327.1 Å³/cell. Number 16: total magnetic moment 0.00 μB/cell, calculated volume 635.9 Å³/cell. Number 17: total magnetic moment 0.00 μB/cell, calculated volume 114.6 Å³/cell. Number 18: total magnetic moment 0.00 μB/cell, calculated volume 381.9 Å³/cell. Number 19: total magnetic moment 0.37 μB/cell, calculated volume 1029.2 Å³/cell.